--- A ---
A plane-wave DFT calculation with PBE-GGA was carried out for Tb2PaPb after structural relaxation.

Unit cell a=4.9189 b=4.9189 c=4.5509 alpha=90.00 beta=90.00 gamma=90.00
With the nearest neighbours (Å) after each atom.
Fractional positions:
Tb 0.0000 0.5000 0.0000  4 Pb 3.35, 4 Pa 3.35, 4 Tb 3.48
Tb 0.5000 0.0000 0.0000  4 Pb 3.35, 4 Pa 3.35, 4 Tb 3.48
Pa 0.0000 0.0000 0.5000  8 Tb 3.35, 4 Pb 3.48
Pb 0.5000 0.5000 0.5000  8 Tb 3.35, 4 Pa 3.48

Properties
**N(E_F)**: 5.40 states/eV/f.u.



--- B ---
A plane-wave DFT calculation with PBE-GGA was carried out for Tb2PaPb after structural relaxation.

Unit cell a=12.0353 b=12.0353 c=12.0353 alpha=16.46 beta=16.46 gamma=16.46
With the nearest neighbours (Å) after each atom.
Fractional positions:
Tb 0.0903 0.0903 0.0903  1 Pb 3.22, 3 Pa 3.37, 6 Tb 3.45
Tb 0.9097 0.9097 0.9097  1 Pb 3.22, 3 Pa 3.37, 6 Tb 3.45
Pa 0.5000 0.5000 0.5000  6 Tb 3.37, 6 Pa 3.45
Pb 0.0000 0.0000 0.0000  2 Tb 3.22, 6 Pb 3.45

Properties
**N(E_F)**: 5.11 states/eV/f.u.



Tell me which of them is the least stable. Sure, it is B.



--- A ---
A plane-wave DFT calculation with PBE-GGA was carried out for Th2PaPb after structural relaxation.

Unit cell a=4.0760 b=4.0760 c=7.1059 alpha=90.00 beta=90.00 gamma=90.00
With the nearest neighbours (Å) after each atom.
Fractional positions:
Th 0.0000 0.0000 0.2465  4 Pa 3.37, 4 Pb 3.40, 2 Th 3.50-3.60
Th 0.0000 0.0000 0.7535  4 Pa 3.37, 4 Pb 3.40, 2 Th 3.50-3.60
Pa 0.5000 0.5000 0.0000  8 Th 3.37, 2 Pb 3.55
Pb 0.5000 0.5000 0.5000  8 Th 3.40, 2 Pa 3.55

Properties
**N(E_F)**: 7.66 states/eV/f.u.



--- B ---
A plane-wave DFT calculation with PBE-GGA was carried out for Th2PaPb after structural relaxation.

Unit cell a=11.4920 b=11.4920 c=11.4920 alpha=17.58 beta=17.58 gamma=17.58
With the nearest neighbours (Å) after each atom.
Fractional positions:
Th 0.2483 0.2483 0.2483  3 Pa 3.43, 6 Th 3.51, 3 Pb 3.53
Th 0.7517 0.7517 0.7517  3 Pa 3.43, 6 Th 3.51, 3 Pb 3.53
Pa 0.5000 0.5000 0.5000  6 Th 3.43, 6 Pa 3.51
Pb 0.0000 0.0000 0.0000  6 Pb 3.51, 6 Th 3.53

Properties
**N(E_F)**: 6.97 states/eV/f.u.



--- C ---
A plane-wave DFT calculation with PBE-GGA was carried out for Th2PaPb after structural relaxation.

Unit cell a=5.5064 b=5.5064 c=5.5064 alpha=60.00 beta=60.00 gamma=60.00
With the nearest neighbours (Å) after each atom.
Fractional positions:
Th 0.2500 0.2500 0.2500  4 Pb 3.37, 4 Pa 3.37
Th 0.7500 0.7500 0.7500  4 Pb 3.37, 4 Pa 3.37
Pa 0.0000 0.0000 0.0000  8 Th 3.37
Pb 0.5000 0.5000 0.5000  8 Th 3.37

Properties
**N(E_F)**: 8.65 states/eV/f.u.



Tell me which of them is the least stable. Sure, it is C.



--- A ---
A plane-wave DFT calculation with PBE-GGA was carried out for ThPaPb after structural relaxation.

Unit cell a=6.3223 b=6.3223 c=6.3223 alpha=128.03 beta=117.24 gamma=85.77
With the nearest neighbours (Å) after each atom.
Fractional positions:
Th 0.1762 0.1762 0.0000  4 Pa 3.23-3.31, 1 Th 3.27, 6 Pb 3.44-3.60
Th 0.8238 0.8238 0.0000  4 Pa 3.23-3.31, 1 Th 3.27, 6 Pb 3.44-3.60
Pa 0.3554 0.8554 0.5000  1 Pa 2.68
Pa 0.6446 0.1446 0.5000  1 Pa 2.68
Pb 0.2445 0.5000 0.7445  2 Pb 3.22-3.37, 6 Th 3.44-3.60, 4 Pa 3.51
Pb 0.7555 0.5000 0.2555  2 Pb 3.22-3.37, 6 Th 3.44-3.60, 4 Pa 3.51

Properties
**N(E_F)**: 5.11 states/eV/f.u.



--- B ---
A plane-wave DFT calculation with PBE-GGA was carried out for ThPaPb after structural relaxation.

Unit cell a=5.7894 b=5.7894 c=5.7894 alpha=137.25 beta=137.25 gamma=62.05
With the nearest neighbours (Å) after each atom.
Fractional positions:
Th 0.0000 0.0000 0.0000  1 Pa 2.95
Pa 0.7025 0.7025 0.0000  1 Th 2.95
Pb 0.3489 0.3489 0.0000  5 Pa 3.32-3.51, 5 Th 3.34-3.46

Properties
**N(E_F)**: 6.54 states/eV/f.u.



--- C ---
A plane-wave DFT calculation with PBE-GGA was carried out for ThPaPb after structural relaxation.

Unit cell a=5.4106 b=5.4106 c=3.2987 alpha=90.00 beta=90.00 gamma=120.00
With the nearest neighbours (Å) after each atom.
Fractional positions:
Th 0.0000 0.0000 0.0000  3 Pa 3.12, 2 Th 3.30
Pa 0.3333 0.6667 0.0000  3 Th 3.12, 2 Pa 3.30
Pb 0.6667 0.3333 0.5000  2 Pb 3.30, 6 Th 3.53, 6 Pa 3.53

Properties
**N(E_F)**: 6.06 states/eV/f.u.



Tell me which of them is the least stable. Sure, it is C.



--- A ---
A plane-wave DFT calculation with PBE-GGA was carried out for PaTiPb2 after structural relaxation.

Unit cell a=4.7165 b=4.7165 c=4.4720 alpha=90.00 beta=90.00 gamma=90.00
With the nearest neighbours (Å) after each atom.
Fractional positions:
Pa 0.0000 0.0000 0.0000  8 Pb 3.25, 4 Ti 3.34
Ti 0.5000 0.5000 0.0000  8 Pb 3.25, 4 Pa 3.34
Pb 0.0000 0.5000 0.5000  4 Pa 3.25, 4 Ti 3.25, 4 Pb 3.34
Pb 0.5000 0.0000 0.5000  4 Pa 3.25, 4 Ti 3.25, 4 Pb 3.34

Properties
**N(E_F)**: 5.00 states/eV/f.u.



--- B ---
A plane-wave DFT calculation with PBE-GGA was carried out for PaTiPb2 after structural relaxation.

Unit cell a=3.8023 b=3.8023 c=6.7473 alpha=90.00 beta=90.00 gamma=90.00
With the nearest neighbours (Å) after each atom.
Fractional positions:
Pa 0.0000 0.0000 0.0000  8 Pb 3.27, 2 Ti 3.37
Ti 0.0000 0.0000 0.5000  8 Pb 3.08, 2 Pa 3.37
Pb 0.5000 0.5000 0.2759  1 Pb 3.02, 4 Ti 3.08, 4 Pa 3.27
Pb 0.5000 0.5000 0.7241  1 Pb 3.02, 4 Ti 3.08, 4 Pa 3.27

Properties
**N(E_F)**: 6.34 states/eV/f.u.



Tell me which of them is the least stable. Sure, it is B.



--- A ---
A plane-wave DFT calculation with PBE-GGA was carried out for PaTlPb after structural relaxation.

Unit cell a=8.3543 b=8.3543 c=8.3543 alpha=157.59 beta=157.59 gamma=31.91
With the nearest neighbours (Å) after each atom.
Fractional positions:
Pa 0.0000 0.0000 0.0000  4 Pa 3.25, 4 Tl 3.41, 4 Pb 3.45
Tl 0.3435 0.3435 0.0000  4 Tl 3.25, 4 Pa 3.41
Pb 0.6605 0.6605 0.0000  4 Pb 3.25, 4 Pa 3.45

Properties
**N(E_F)**: 4.55 states/eV/f.u.



--- B ---
A plane-wave DFT calculation with PBE-GGA was carried out for PaTlPb after structural relaxation.

Unit cell a=5.5102 b=5.5102 c=3.1495 alpha=90.00 beta=90.00 gamma=120.00
With the nearest neighbours (Å) after each atom.
Fractional positions:
Pa 0.0000 0.0000 0.0000  2 Pa 3.15
Tl 0.6667 0.3333 0.4915  2 Tl 3.15, 3 Pb 3.18
Pb 0.3333 0.6667 0.5061  2 Pb 3.15, 3 Tl 3.18

Properties
**N(E_F)**: 5.88 states/eV/f.u.



Tell me which of them is the least stable. Sure, it is B.



--- A ---
A plane-wave DFT calculation with PBE-GGA was carried out for PaTl2Pb after structural relaxation.

Unit cell a=12.4730 b=12.4730 c=12.4730 alpha=15.36 beta=15.36 gamma=15.36
With the nearest neighbours (Å) after each atom.
Fractional positions:
Pa 0.0000 0.0000 0.0000  2 Tl 3.22, 6 Pa 3.33
Tl 0.0870 0.0870 0.0870  1 Pa 3.22, 6 Tl 3.33, 3 Pb 3.52
Tl 0.9130 0.9130 0.9130  1 Pa 3.22, 6 Tl 3.33, 3 Pb 3.52
Pb 0.5000 0.5000 0.5000  6 Pb 3.33, 6 Tl 3.52

Properties
**N(E_F)**: 4.93 states/eV/f.u.



--- B ---
A plane-wave DFT calculation with PBE-GGA was carried out for PaTl2Pb after structural relaxation.

Unit cell a=4.0041 b=4.0041 c=6.9885 alpha=90.00 beta=90.00 gamma=90.00
With the nearest neighbours (Å) after each atom.
Fractional positions:
Pa 0.0000 0.0000 0.0000  8 Tl 3.34, 2 Pb 3.49
Tl 0.5000 0.5000 0.2543  4 Pb 3.31, 4 Pa 3.34, 2 Tl 3.43-3.55
Tl 0.5000 0.5000 0.7457  4 Pb 3.31, 4 Pa 3.34, 2 Tl 3.43-3.55
Pb 0.0000 0.0000 0.5000  8 Tl 3.31, 2 Pa 3.49

Properties
**N(E_F)**: 7.93 states/eV/f.u.



Tell me which of them is the least stable. Sure, it is A.